Ba2MnSb3Pt4 | GGA-PBE | relaxed

Lattice parameters (Å, degrees): 4.7306 4.7306 10.7226 90.00 90.00 90.00
Closest atoms and distances in Å follow each position.
Sites, in units of the cell vectors:
1 Sb 0.0000 0.5000 0.1262  5 Pt 2.72-2.73
2 Sb 0.0000 0.0000 0.5000  4 Pt 2.69
3 Sb 0.5000 0.0000 0.8738  5 Pt 2.72-2.73
4 Pt 0.0000 0.0000 0.0000  4 Sb 2.73
5 Pt 0.0000 0.5000 0.3797  2 Mn 2.69, 3 Sb 2.69-2.72
6 Pt 0.5000 0.5000 0.0000  4 Sb 2.73
7 Pt 0.5000 0.0000 0.6203  2 Mn 2.69, 3 Sb 2.69-2.72
8 Ba 0.0000 0.5000 0.7516  9 Pt 3.56-3.99, 2 Mn 3.59, 6 Sb 3.59
9 Ba 0.5000 0.0000 0.2484  9 Pt 3.56-3.99, 2 Mn 3.59, 6 Sb 3.59
10 Mn 0.5000 0.5000 0.5000  4 Pt 2.69

Calculated values
E: -5.67 eV per atom
Symmetry: No. 115
Raw formation energy: -7.135 eV/f.u.